{"formula": "Mg2AlSb", "functional": "meta-GGA SCAN", "state": "single point on PBEsol structure", "cell": [[3.195, 0.000, 0.000], [0.000, 3.195, 0.000], [0.000, 0.000, 8.440]], "species": ["Mg", "Mg", "Al", "Sb"], "frac_coords": [[0.000, 0.000, 0.232], [0.000, 0.000, 0.768], [0.500, 0.500, 0.000], [0.500, 0.500, 0.500]], "dos_at_fermi_per_ev_fu": 1.50, "crystal_system": "tetragonal", "sg": "P4/mmm (123)", "e_form_raw_ev_per_atom": -0.037, "de_polymorph_ev_per_fu": 0.15}

{"formula": "Sr2MgOs", "functional": "meta-GGA SCAN", "state": "single point on PBEsol structure", "cell": [[4.872, 0.000, 0.000], [0.000, 4.872, 0.000], [0.000, 0.000, 4.315]], "species": ["Sr", "Sr", "Mg", "Os"], "frac_coords": [[0.000, 0.500, 0.000], [0.500, 0.000, 0.000], [0.000, 0.000, 0.500], [0.500, 0.500, 0.500]], "ef_ev_per_fu": 2.56, "dos_at_fermi_per_ev_fu": 2.38, "crystal_system": "tetragonal", "sg": "P4/mmm (123)"}

{"formula": "MnH3Se", "functional": "meta-GGA SCAN", "state": "single point on PBEsol structure", "cell": [[3.737, 0.000, 0.000], [0.000, 3.737, 0.000], [0.000, 0.000, 3.737]], "species": ["Mn", "H", "H", "H", "Se"], "frac_coords": [[0.000, 0.000, 0.000], [0.000, 0.500, 0.500], [0.500, 0.000, 0.500], [0.500, 0.500, 0.000], [0.500, 0.500, 0.500]], "dos_at_fermi_per_ev_fu": 2.16, "crystal_system": "cubic", "sg": "Pm-3m (221)", "final_energy_ev_per_atom": -8.89}

{"formula": "Tl2ReSi", "functional": "meta-GGA SCAN", "state": "single point on PBEsol structure", "cell": [[2.912, 0.000, 0.000], [0.000, 3.960, 0.000], [0.000, 0.000, 15.258]], "species": ["Tl", "Tl", "Tl", "Tl", "Re", "Re", "Si", "Si"], "frac_coords": [[0.000, 0.000, 0.175], [0.000, 0.000, 0.825], [0.500, 0.500, 0.325], [0.500, 0.500, 0.675], [0.000, 0.500, 0.500], [0.500, 0.000, 0.000], [0.000, 0.500, 0.000], [0.500, 0.000, 0.500]], "dos_at_fermi_per_ev_fu": 1.49, "crystal_system": "orthorhombic", "sg": "Immm (71)", "e_form_raw_ev_per_atom": 0.393, "de_polymorph_ev_per_fu": 0.00}